Record 1
DFT (PBE) results for crystalline SmSc2Ag3 at its relaxed geometry.

Summary:
* E_form: -270 meV per atom
* Fermi-level density of states: 3.2 states/eV/cell
* space-group type: P4/mmm, No. 123

Unit cell a=3.488 b=3.488 c=10.786 alpha=90.00 beta=90.00 gamma=90.00
Sites, in units of the cell vectors:
Sm 0.000 0.000 0.000
Sc 0.000 0.000 0.342
Sc 0.000 0.000 0.658
Ag 0.500 0.500 0.194
Ag 0.500 0.500 0.500
Ag 0.500 0.500 0.806

=====

Record 2
DFT (PBE) results for crystalline Sm4ScAg at its relaxed geometry.

Summary:
* E_form: 71 meV per atom
* Fermi-level density of states: 15.3 states/eV/cell
* space-group type: Cmc2_1, No. 36
* energy above the lowest structure with this stoichiometry: 0.126 eV per atom

Unit cell a=11.086 b=11.086 c=6.393 alpha=90.00 beta=90.00 gamma=152.48
Sites, in units of the cell vectors:
Sm 0.030 0.970 0.500
Sm 0.168 0.832 0.679
Sm 0.244 0.756 0.216
Sm 0.432 0.568 0.344
Sm 0.568 0.432 0.844
Sm 0.756 0.244 0.716
Sm 0.832 0.168 0.179
Sm 0.970 0.030 0.000
Sc 0.368 0.632 0.851
Sc 0.632 0.368 0.351
Ag 0.109 0.891 0.116
Ag 0.891 0.109 0.616

=====

Record 3
DFT (PBE) results for crystalline Sm3ScAg4 at its relaxed geometry.

Summary:
* E_form: -267 meV per atom
* Fermi-level density of states: 5.6 states/eV/cell
* space-group type: P4/mmm, No. 123

Unit cell a=3.624 b=3.624 c=14.726 alpha=90.00 beta=90.00 gamma=90.00
Sites, in units of the cell vectors:
Sm 0.000 0.000 0.000
Sm 0.000 0.000 0.259
Sm 0.000 0.000 0.741
Sc 0.000 0.000 0.500
Ag 0.500 0.500 0.129
Ag 0.500 0.500 0.395
Ag 0.500 0.500 0.605
Ag 0.500 0.500 0.871

=====

Record 4
DFT (PBE) results for crystalline Sm4ScAg3 at its relaxed geometry.

Summary:
* E_form: -165 meV per atom
* Fermi-level density of states: 7.6 states/eV/cell
* space-group type: Pmmm, No. 47

Unit cell a=3.667 b=5.334 c=10.767 alpha=90.00 beta=90.00 gamma=90.00
Sites, in units of the cell vectors:
Sm 0.000 0.000 0.000
Sm 0.000 0.000 0.500
Sm 0.000 0.500 0.240
Sm 0.000 0.500 0.760
Sc 0.500 0.500 0.500
Ag 0.500 0.000 0.260
Ag 0.500 0.000 0.740
Ag 0.500 0.500 0.000

=====

Record 5
DFT (PBE) results for crystalline SmScAg2 at its relaxed geometry.

Summary:
* E_form: -233 meV per atom
* Fermi-level density of states: 3.2 states/eV/cell
* space-group type: P4/mmm, No. 123

Unit cell a=5.085 b=5.085 c=3.557 alpha=90.00 beta=90.00 gamma=90.00
Sites, in units of the cell vectors:
Sm 0.000 0.000 0.000
Sc 0.500 0.500 0.000
Ag 0.000 0.500 0.500
Ag 0.500 0.000 0.500

=====

Record 6
DFT (PBE) results for crystalline Sm2ScAg3 at its relaxed geometry.

Summary:
* E_form: -267 meV per atom
* Fermi-level density of states: 3.4 states/eV/cell
* space-group type: P4/mmm, No. 123

Unit cell a=3.583 b=3.583 c=11.062 alpha=90.00 beta=90.00 gamma=90.00
Sites, in units of the cell vectors:
Sm 0.000 0.000 0.175
Sm 0.000 0.000 0.825
Sc 0.000 0.000 0.500
Ag 0.500 0.500 0.000
Ag 0.500 0.500 0.358
Ag 0.500 0.500 0.642

=====

Record 7
DFT (PBE) results for crystalline SmSc2Ag2Sn2 at its relaxed geometry.

Summary:
* E_form: -458 meV per atom
* Fermi-level density of states: 4.4 states/eV/cell
* space-group type: R-3m, No. 166

Unit cell a=8.853 b=8.853 c=8.853 alpha=31.03 beta=31.03 gamma=31.03
Sites, in units of the cell vectors:
Sm 0.000 0.000 0.000
Sc 0.136 0.136 0.136
Sc 0.864 0.864 0.864
Ag 0.442 0.442 0.442
Ag 0.558 0.558 0.558
Sn 0.261 0.261 0.261
Sn 0.739 0.739 0.739

=====

Record 8
DFT (PBE) results for crystalline Sm2ScAgTe5 at its relaxed geometry.

Summary:
* formation energy (no corrections): -107.0 kJ per mole of atoms
* Fermi-level density of states: 0.3 states/eV/cell
* space-group type: Cmc2_1, No. 36

Unit cell a=9.583 b=9.583 c=13.077 alpha=90.00 beta=90.00 gamma=154.00
Sites, in units of the cell vectors:
Sm 0.112 0.888 0.500
Sm 0.127 0.873 0.117
Sm 0.873 0.127 0.617
Sm 0.888 0.112 0.000
Sc 0.190 0.810 0.823
Sc 0.810 0.190 0.323
Ag 0.428 0.572 0.271
Ag 0.572 0.428 0.771
Te 0.045 0.955 0.890
Te 0.285 0.715 0.475
Te 0.302 0.698 0.156
Te 0.351 0.649 0.812
Te 0.498 0.502 0.591
Te 0.502 0.498 0.091
Te 0.649 0.351 0.312
Te 0.698 0.302 0.656
Te 0.715 0.285 0.975
Te 0.955 0.045 0.390

=====

Record 9
DFT (PBE) results for crystalline SmSc2Ag3Te6 at its relaxed geometry.

Summary:
* formation energy (no corrections): -72.9 kJ per mole of atoms
* space-group type: C2/m, No. 12

Unit cell a=7.471 b=7.471 c=7.414 alpha=99.56 beta=99.56 gamma=120.08
Sites, in units of the cell vectors:
Sm 0.000 0.000 0.000
Sc 0.331 0.669 0.000
Sc 0.669 0.331 0.000
Ag 0.158 0.842 0.500
Ag 0.500 0.500 0.500
Ag 0.842 0.158 0.500
Te 0.081 0.433 0.246
Te 0.270 0.270 0.753
Te 0.433 0.081 0.246
Te 0.567 0.919 0.754
Te 0.730 0.730 0.247
Te 0.919 0.567 0.754

=====

Record 10
DFT (PBE) results for crystalline SmScAg2Te4 at its relaxed geometry.

Summary:
* formation energy (no corrections): -64.5 kJ per mole of atoms
* space-group type: I222, No. 23

Unit cell a=7.057 b=7.057 c=7.057 alpha=116.81 beta=111.92 gamma=100.12
Sites, in units of the cell vectors:
Sm 0.000 0.000 0.000
Sc 0.500 0.000 0.500
Ag 0.310 0.500 0.810
Ag 0.690 0.500 0.190
Te 0.101 0.030 0.483
Te 0.452 0.970 0.071
Te 0.548 0.618 0.517
Te 0.899 0.382 0.929

=====

Record 11
DFT (PBE) results for crystalline SmScTlAg at its relaxed geometry.

Summary:
* E_form: -305 meV per atom
* Fermi-level density of states: 2.8 states/eV/cell
* space-group type: P4mm, No. 99
* energy above the lowest structure with this stoichiometry: 0.000 eV per atom

Unit cell a=3.580 b=3.580 c=7.602 alpha=90.00 beta=90.00 gamma=90.00
Sites, in units of the cell vectors:
Sm 0.000 0.000 0.000
Sc 0.000 0.000 0.532
Tl 0.500 0.500 0.286
Ag 0.500 0.500 0.729

=====

Record 12
DFT (PBE) results for crystalline SmScTlAg at its relaxed geometry.

Summary:
* E_form: -293 meV per atom
* Fermi-level density of states: 3.6 states/eV/cell
* space-group type: F-43m, No. 216
* energy above the lowest structure with this stoichiometry: 0.012 eV per atom

Unit cell a=5.188 b=5.188 c=5.188 alpha=60.00 beta=60.00 gamma=60.00
Sites, in units of the cell vectors:
Sm 0.000 0.000 0.000
Sc 0.500 0.500 0.500
Tl 0.250 0.250 0.250
Ag 0.750 0.750 0.750